Entry from OQMD via LeMat-Bulk: a geometry-optimized TbHo2Tl3AgPt2 structure (PBE).

Cell lengths 3.7620, 13.7456, 7.9191 Å; angles 90.00, 90.00, 90.00 degrees
Space group Amm2 (No. 38)
One atom of each set of equivalent atoms:
1 Tb 0.0000 0.0000 0.0000 (multiplicity 2)
2 Ho 0.0000 0.2051 0.3849 (multiplicity 4)
3 Tl 0.5000 0.0000 0.3198 (multiplicity 2)
4 Tl 0.5000 0.1354 0.7251 (multiplicity 4)
5 Ag 0.0000 0.0000 0.5897 (multiplicity 2)
6 Pt 0.5000 0.1675 0.0904 (multiplicity 4)

Results
Magnetization = 0.0 μB per formula unit
Volume = 409.5 Å³ per cell
Raw total energy = -4.64 eV per atom